[1]
Here is an optimized crystal structure of Ac2Bi from Alexandria. Energies are from PBE.

Structure (POSCAR):
```
Ac2Bi
1.0
7.012 0.000 0.000
3.506 6.073 0.000
3.506 2.024 5.726
Bi Ac
2 4
Direct
0.000 0.000 0.000
0.250 0.250 0.250
0.625 0.625 0.125
0.125 0.625 0.625
0.625 0.125 0.625
0.625 0.625 0.625
```

Energy relative to the elements ... 0.06 eV/atom
Space-group type ... Fd-3m
Polymorph energy (0 for the lowest one) ... 1.64 eV per formula unit

***

[2]
Here is an optimized crystal structure of AcBi5 from Alexandria. Energies are from PBE.

Structure (POSCAR):
```
AcBi5
1.0
4.712 0.000 0.000
0.000 5.141 0.000
0.000 -2.571 8.218
Bi Ac
5 1
Direct
0.500 0.500 0.000
0.000 0.655 0.309
0.500 0.818 0.636
0.500 0.182 0.364
0.000 0.345 0.691
0.000 0.000 0.000
```

Energy relative to the elements ... -0.29 eV/atom
Space-group type ... Cmmm
Polymorph energy (0 for the lowest one) ... 0.00 eV per formula unit

***

[3]
Here is an optimized crystal structure of AcBi from Alexandria. Energies are from PBE.

Structure (POSCAR):
```
AcBi
1.0
-1.484 -2.490 -3.018
-1.312 -2.724 2.893
-3.686 1.973 0.185
Bi Ac
1 1
Direct
0.500 0.500 0.500
0.000 0.000 0.000
```

Energy relative to the elements ... -0.78 eV/atom
Space-group type ... Pm-3m
Polymorph energy (0 for the lowest one) ... 0.45 eV per formula unit

***

[4]
Here is an optimized crystal structure of Ac4Bi from Alexandria. Energies are from PBE.

Structure (POSCAR):
```
Ac4Bi
1.0
6.426 0.000 0.000
0.000 6.426 0.000
0.000 0.000 6.426
Bi Ac
1 4
Direct
0.500 0.500 0.500
0.000 0.000 0.000
0.000 0.500 0.500
0.500 0.500 0.000
0.500 0.000 0.500
```

Energy relative to the elements ... 0.07 eV/atom
Space-group type ... Pm-3m

***

[5]
Here is an optimized crystal structure of Ac4Bi3Br from Alexandria. Energies are from PBE.

Structure (POSCAR):
```
Ac4Bi3Br
1.0
-2.196 0.895 -3.515
2.489 -8.964 1.260
-4.976 -2.297 7.622
Bi Ac Br
3 4 1
Direct
0.438 0.000 0.500
0.938 0.500 0.500
0.938 0.000 0.000
0.409 0.236 0.736
0.466 0.764 0.264
0.938 0.764 0.736
0.938 0.236 0.264
0.936 0.500 0.000
```

Space-group type ... Cm
E_form (uncorrected) ... -935 meV per atom

***

[6]
Here is an optimized crystal structure of AcBiBr6 from Alexandria. Energies are from PBE.

Structure (POSCAR):
```
AcBiBr6
1.0
-0.934 0.602 7.225
0.698 -5.884 4.279
6.513 -0.439 4.577
Br Bi Ac
6 1 1
Direct
0.589 0.239 0.244
0.761 0.071 0.756
0.239 0.929 0.244
0.929 0.589 0.244
0.411 0.761 0.756
0.071 0.411 0.756
0.000 0.000 0.000
0.500 0.500 0.500
```

Space-group type ... R-3
E_form (uncorrected) ... -1330 meV per atom

***

The records above give, respectively, V values of 40.6 33.2 36.6 53.1 37.2 39.1 Å³/atom.